# 1
Entry from Alexandria via LeMat-Bulk: a relaxed structure of ZrMn3Pt6 (GGA-PBE).

```
20
Lattice="8.543 0.000 0.000 0.000 4.100 0.000 -0.667 0.000 9.058" Properties=species:S:1:pos:R:3 pbc="T T T"
Zr 0.292 1.025 3.442
Zr 7.584 3.075 5.616
Mn 2.132 1.025 0.172
Mn 2.415 3.075 7.358
Mn 3.409 1.025 5.472
Mn 4.467 3.075 3.586
Mn 5.462 1.025 1.700
Mn 5.745 3.075 8.885
Pt -0.083 3.075 8.223
Pt 0.858 1.025 6.402
Pt 1.219 3.075 1.874
Pt 1.862 3.075 4.649
Pt 3.008 1.025 2.813
Pt 3.881 3.075 0.919
Pt 3.996 1.025 8.139
Pt 4.869 3.075 6.244
Pt 6.015 1.025 4.408
Pt 6.658 1.025 7.184
Pt 7.019 3.075 2.655
Pt 7.960 1.025 0.835
```

Calculated values
SG   P2_1/m, No. 11
M_tot   13.152 μB/f.u.
VASP energy   -7.791 eV per atom
Crystal system   monoclinic
Calculated formation energy   -0.561 eV/atom



# 2
Entry from Alexandria via LeMat-Bulk: a relaxed structure of LuHgPdAu (GGA-PBE).

```
16
Lattice="6.808 0.000 0.000 0.000 6.808 0.000 0.000 0.000 6.808" Properties=species:S:1:pos:R:3 pbc="T T T"
Lu 0.000 0.000 0.000
Lu 0.000 3.404 3.404
Lu 3.404 0.000 3.404
Lu 3.404 3.404 0.000
Hg 0.000 0.000 3.404
Hg 0.000 3.404 0.000
Hg 3.404 0.000 0.000
Hg 3.404 3.404 3.404
Pd 1.702 1.702 1.702
Pd 1.702 5.106 5.106
Pd 5.106 1.702 5.106
Pd 5.106 5.106 1.702
Au 1.702 1.702 5.106
Au 1.702 5.106 1.702
Au 5.106 1.702 1.702
Au 5.106 5.106 5.106
```

Calculated values
SG   F-43m, No. 216
M_tot   0.000 μB/f.u.
VASP energy   -3.948 eV per atom
Crystal system   cubic
Calculated formation energy   -0.625 eV/atom



# 3
Entry from Alexandria via LeMat-Bulk: a relaxed structure of CaCoRe2 (GGA-PBE).

```
4
Lattice="4.862 0.000 0.000 0.000 4.862 0.000 0.000 0.000 2.692" Properties=species:S:1:pos:R:3 pbc="T T T"
Ca 0.000 0.000 0.000
Co 2.431 2.431 0.000
Re 0.000 2.431 1.346
Re 2.431 0.000 1.346
```

Calculated values
SG   P4/mmm, No. 123
M_tot   1.121 μB/f.u.
VASP energy   -7.415 eV per atom
Crystal system   tetragonal
Calculated formation energy   1.086 eV/atom